This record from Alexandria via LeMat-Bulk describes a PBEsol-optimized structure of NaRhCl3. The functional is SCAN.

Results
M_tot in μB/f.u.: 3.0
Raw formation energy in meV per atom: -57
ΔE to the lowest computed polymorph in meV per atom: 939.7

Structure (CIF):
```
data_NaRhCl3
_cell_length_a 4.854
_cell_length_b 4.854
_cell_length_c 4.854
_cell_angle_alpha 90.00
_cell_angle_beta 90.00
_cell_angle_gamma 90.00
_space_group_name_H-M_alt 'P m -3 m'
_space_group_IT_number 221
_space_group_name_Hall '-P 4 2 3'
loop_
_atom_site_label
_atom_site_fract_x
_atom_site_fract_y
_atom_site_fract_z
_atom_site_occupancy
Na1 0.000 0.000 0.000 1
Rh1 0.500 0.500 0.500 1
Cl1 0.000 0.000 0.500 1
```

***

This record from Alexandria via LeMat-Bulk describes a PBEsol-optimized structure of CoHgAs2. The functional is SCAN.

Results
M_tot in μB/f.u.: 0.0
Formation enthalpy at 0 K in eV per atom: 0.274

Structure (CIF):
```
data_CoHgAs2
_cell_length_a 3.777
_cell_length_b 2.951
_cell_length_c 6.506
_cell_angle_alpha 90.00
_cell_angle_beta 106.77
_cell_angle_gamma 90.00
_space_group_name_H-M_alt 'P 1 m 1'
_space_group_IT_number 6
_space_group_name_Hall 'P -2y'
loop_
_atom_site_label
_atom_site_fract_x
_atom_site_fract_y
_atom_site_fract_z
_atom_site_occupancy
Co1 0.000 0.000 0.000 1
Hg1 0.178 0.500 0.366 1
As1 0.479 0.500 0.959 1
As2 0.811 0.000 0.633 1
```

***

This record from Alexandria via LeMat-Bulk describes a PBEsol-optimized structure of ZnCuRu2. The functional is SCAN.

Results
M_tot in μB/f.u.: 0.0
Formation enthalpy at 0 K in eV per atom: 0.269

Structure (CIF):
```
data_ZnCuRu2
_cell_length_a 2.756
_cell_length_b 4.361
_cell_length_c 4.371
_cell_angle_alpha 90.00
_cell_angle_beta 90.00
_cell_angle_gamma 90.00
_space_group_name_H-M_alt 'P m m m'
_space_group_IT_number 47
_space_group_name_Hall '-P 2 2'
loop_
_atom_site_label
_atom_site_fract_x
_atom_site_fract_y
_atom_site_fract_z
_atom_site_occupancy
Zn1 0.000 0.000 0.000 1
Cu1 0.500 0.500 0.000 1
Ru1 0.000 0.500 0.500 1
Ru2 0.500 0.000 0.500 1
```